1.
Compound: GdHgBiPb
Source: the Alexandria database
Functional: PBE-GGA
Structure: relaxed

Values from the calculation:
Total moment: 1.749 μB per atom
Energy of formation from the pure elements: -0.288 eV per atom
Density of states at the Fermi level: 4.26 states/eV/f.u.
Final energy: -5.7807 eV per atom

a = 7.768 Å, b = 7.768 Å, c = 7.768 Å
α = 90.00°, β = 90.00°, γ = 90.00°
Space group F-43m (No. 216)
Asymmetric unit:
Gd 0.000 0.000 0.000 [4 per cell]
Hg 0.250 0.250 0.250 [4 per cell]
Bi 0.250 0.250 0.750 [4 per cell]
Pb 0.000 0.000 0.500 [4 per cell]

2.
Compound: PmSiNi
Source: the Alexandria database
Functional: PBE-GGA
Structure: relaxed

Values from the calculation:
Total moment: 0.000 μB per atom
Density of states at the Fermi level: 2.33 states/eV/f.u.
Energy relative to the lowest polymorph listed for this composition: 9.8 meV per atom
Final energy: -6.0453 eV per atom
Energy relative to the elements, uncorrected: -0.727 eV per atom

a = 3.9973 Å, b = 3.9973 Å, c = 4.2114 Å
α = 90.00°, β = 90.00°, γ = 120.00°
Space group P-6m2 (No. 187)
Asymmetric unit:
Pm 0.0000 0.0000 0.0000 [1 per cell]
Si 0.3333 0.6667 0.5000 [1 per cell]
Ni 0.6667 0.3333 0.5000 [1 per cell]

3.
Compound: BaZn2MoRu
Source: the Alexandria database
Functional: PBE-GGA
Structure: relaxed

Values from the calculation:
Total moment: 1.011 μB per atom
Energy of formation from the pure elements: 1.133 eV per atom
Density of states at the Fermi level: 3.13 states/eV/f.u.
Final energy: -3.7821 eV per atom

a = 4.971 Å, b = 4.971 Å, c = 5.389 Å
α = 90.00°, β = 90.00°, γ = 90.00°
Space group P4/mmm (No. 123)
Asymmetric unit:
Ba 0.000 0.000 0.000 [1 per cell]
Zn 0.000 0.500 0.500 [2 per cell]
Mo 0.500 0.500 0.000 [1 per cell]
Ru 0.000 0.000 0.500 [1 per cell]

4.
Compound: Rb3TaS4
Source: the Alexandria database
Functional: PBE-GGA
Structure: relaxed

Values from the calculation:
Total moment: 0.000 μB per atom
Density of states at the Fermi level: 0.00 states/eV/f.u.
Final energy: -5.0951 eV per atom
Energy relative to the elements, uncorrected: -1.187 eV per atom

a = 7.359 Å, b = 10.305 Å, c = 7.947 Å
α = 90.00°, β = 90.00°, γ = 90.00°
Space group Imm2 (No. 44)
Asymmetric unit:
Rb 0.000 0.000 0.000 [2 per cell]
Rb 0.000 0.235 0.460 [4 per cell]
Ta 0.000 0.500 0.015 [2 per cell]
S 0.000 0.315 0.854 [4 per cell]
S 0.249 0.500 0.183 [4 per cell]

5.
Compound: RhAuICl
Source: the Alexandria database
Functional: PBE-GGA
Structure: relaxed

Values from the calculation:
Total moment: 0.000 μB per atom
Density of states at the Fermi level: 0.40 states/eV/f.u.
Energy relative to the lowest polymorph listed for this composition: 2.3 meV per atom
Final energy: -3.6290 eV per atom
Energy relative to the elements, uncorrected: -0.123 eV per atom

a = 6.623 Å, b = 3.823 Å, c = 7.914 Å
α = 90.00°, β = 105.96°, γ = 90.00°
Space group Cm (No. 8)
Asymmetric unit:
Rh 0.000 0.000 0.000 [2 per cell]
Au 0.400 0.000 0.204 [2 per cell]
I 0.108 0.500 0.821 [2 per cell]
Cl 0.298 0.500 0.401 [2 per cell]

6.
Compound: InCoNiSn2
Source: the Alexandria database
Functional: PBE-GGA
Structure: relaxed

Values from the calculation:
Total moment: 0.365 μB per atom
Energy of formation from the pure elements: 0.573 eV per atom
Density of states at the Fermi level: 10.64 states/eV/f.u.
Final energy: -4.1530 eV per atom

a = 4.892 Å, b = 4.892 Å, c = 4.877 Å
α = 90.00°, β = 90.00°, γ = 90.00°
Space group P4/mmm (No. 123)
Asymmetric unit:
In 0.000 0.000 0.000 [1 per cell]
Co 0.500 0.500 0.000 [1 per cell]
Ni 0.000 0.000 0.500 [1 per cell]
Sn 0.000 0.500 0.500 [2 per cell]

- Number 2 is which compound?
  PmSiNi

- final energy of number 3 (BaZn2MoRu)?
  -3.7821 eV per atom

- Which formula does entry 2 have?
  PmSiNi